# La2CrAu | Alexandria | GGA-PBE | optimized geometry
data_La2CrAu
_space_group_name_H-M_alt 'C 1 2/m 1'
_space_group_IT_number 12
_cell_length_a 7.5127
_cell_length_b 3.7203
_cell_length_c 8.3199
_cell_angle_alpha 90.00
_cell_angle_beta 101.99
_cell_angle_gamma 90.00
loop_
_space_group_symop_operation_xyz
'x,y,z'
'-x,-y,-z'
'-x,y,-z'
'x,-y,z'
'x+1/2,y+1/2,z'
'-x+1/2,-y+1/2,-z'
'-x+1/2,y+1/2,-z'
'x+1/2,-y+1/2,z'
loop_
_atom_site_label
_atom_site_type_symbol
_atom_site_fract_x
_atom_site_fract_y
_atom_site_fract_z
La1 La 0.2467 0.0000 0.2568
Cr1 Cr 0.0000 0.0000 0.5000
Au1 Au 0.0000 0.5000 0.0000
# Energy of formation = 18 kJ/mol of formula units
# Raw total energy = -5.643 eV/atom
# Theoretical density = 7.69 g/cm3
# M_tot = 6.42 μB/cell